Density functional theory data (GGA-PBE) for crystalline Tb2Pr6YMg at its relaxed geometry.

Cell: 9.5605 8.9755 8.9755 Å, 116.94 93.44 93.44°
Atoms (fractional coordinates):
Tb  0.4488  0.7992  0.6947
Tb  0.0512  0.3053  0.2008
Tb  0.5512  0.2008  0.3053
Tb  0.9488  0.6947  0.7992
Pr  0.0498  0.1290  0.7684
Pr  0.4502  0.2316  0.8710
Pr  0.9502  0.8710  0.2316
Pr  0.5498  0.7684  0.1290
Pr  0.3015  0.0025  0.4334
Pr  0.1985  0.5666  0.9975
Pr  0.6985  0.9975  0.5666
Pr  0.8015  0.4334  0.0025
Pr  0.1088  0.7095  0.5034
Pr  0.3912  0.4966  0.2905
Pr  0.8912  0.2905  0.4966
Pr  0.6088  0.5034  0.7095
Y  0.2500  0.9775  0.0225
Y  0.7500  0.0225  0.9775
Mg  0.2500  0.4133  0.5867
Mg  0.7500  0.5867  0.4133

Values from the calculation:
* size of the total moment: 0.00 Bohr magnetons per cell
* E: -89.8 eV/cell
* calculated formation energy: 111 meV/atom
* volume: 682.1 Å³/cell